No. 1
# Sm3TiO

A relaxed Sm3TiO crystal (GGA-PBE, the Alexandria database).

Values from the calculation:
**Uncorrected energy**: -6.39 eV/atom
**Calculated volume**: 23.37 A^3/atom
**Formation energy (no corrections)**: -0.992 eV/atom
**Calculated density**: 7.32 g/cm3

Unit cell a=4.889 b=4.889 c=4.889 alpha=90.00 beta=90.00 gamma=90.00
Space group Pm-3m (No. 221)
Inequivalent atoms, fractional coordinates:
Sm 0.000 0.000 0.500 x3
Ti 0.500 0.500 0.500 x1
O 0.000 0.000 0.000 x1

No. 2
# InOs2Cl

A relaxed InOs2Cl crystal (GGA-PBE, the Alexandria database).

Values from the calculation:
**Uncorrected energy**: -5.75 eV/atom
**Calculated volume**: 17.03 A^3/atom
**Formation energy (no corrections)**: 1.012 eV/atom
**Calculated density**: 12.94 g/cm3

Unit cell a=5.511 b=9.775 c=2.972 alpha=90.00 beta=121.69 gamma=90.00
Space group C2/m (No. 12)
Inequivalent atoms, fractional coordinates:
In 0.000 0.000 0.000 x2
Os 0.250 0.250 0.500 x4
Cl 0.000 0.500 0.000 x2